[1]
## LaB3Os2 (GGA-PBE)

Data for LaB3Os2 after structural relaxation.

Properties
ρ	11.40	g/cm3
space-group type	No. 74
DFT formation energy	-74	meV/atom
density of states at the Fermi level	4.457	states/eV per cell

Lattice parameters (Å, degrees): 6.0051 6.4550 6.4550 48.31 62.28 62.28
Closest atoms and distances in Å follow each position.
Atoms (fractional coordinates):
La 0.1095 0.2500 0.2500  6 B 2.69-2.81, 2 La 2.95
La 0.8905 0.7500 0.7500  6 B 2.69-2.81, 2 La 2.95
B 0.0000 0.6685 0.3315  1 B 1.78
B 0.0000 0.3315 0.6685  1 B 1.78
B 0.5000 0.8315 0.1685  1 B 1.78
B 0.5000 0.0000 0.5000  4 Os 2.15
B 0.5000 0.5000 0.0000  4 Os 2.15
B 0.5000 0.1685 0.8315  1 B 1.78
Os 0.2729 0.9138 0.9138  6 B 2.15-2.26
Os 0.3996 0.4138 0.4138  6 B 2.15-2.26
Os 0.6004 0.5862 0.5862  6 B 2.15-2.26
Os 0.7271 0.0862 0.0862  6 B 2.15-2.26

[2]
## La2BOs (GGA-PBE)

Data for La2BOs after structural relaxation.

Properties
ρ	7.28	g/cm3
space-group type	No. 122
DFT formation energy	-53	meV/atom
density of states at the Fermi level	8.493	states/eV per cell

Lattice parameters (Å, degrees): 10.4234 10.4234 7.6395 46.98 46.98 90.00
Closest atoms and distances in Å follow each position.
Atoms (fractional coordinates):
B 0.5000 0.5000 0.0000  2 Os 2.01
B 0.2500 0.7500 0.5000  2 Os 2.01
Os 0.0000 0.0000 0.0000  2 B 2.01
Os 0.7500 0.2500 0.5000  2 B 2.01
La 0.4395 0.1250 0.2500  2 B 2.74
La 0.3105 0.6250 0.2500  2 B 2.74
La 0.3750 0.5605 0.7500  2 B 2.74
La 0.8750 0.6895 0.7500  2 B 2.74

[3]
## LaB4Os (GGA-PBE)

Data for LaB4Os after structural relaxation.

Properties
ρ	9.23	g/cm3
space-group type	No. 55
DFT formation energy	-441	meV/atom
density of states at the Fermi level	3.237	states/eV per cell

Lattice parameters (Å, degrees): 3.6791 6.1328 11.8751 90.00 90.00 90.00
Closest atoms and distances in Å follow each position.
Atoms (fractional coordinates):
La 0.0000 0.6257 0.3496  14 B 2.76-2.87, 2 Os 3.06-3.07
La 0.0000 0.3743 0.6504  14 B 2.76-2.87, 2 Os 3.06-3.07
La 0.0000 0.1257 0.1504  14 B 2.76-2.87, 2 Os 3.06-3.07
La 0.0000 0.8743 0.8496  14 B 2.76-2.87, 2 Os 3.06-3.07
B 0.5000 0.7795 0.1825  3 B 1.86-1.96
B 0.5000 0.2205 0.8175  3 B 1.86-1.96
B 0.5000 0.2795 0.3175  3 B 1.86-1.96
B 0.5000 0.7205 0.6825  3 B 1.86-1.96
B 0.5000 0.8569 0.0313  3 B 1.76-1.91
B 0.5000 0.1431 0.9687  3 B 1.76-1.91
B 0.5000 0.3569 0.4687  3 B 1.76-1.91
B 0.5000 0.6431 0.5313  3 B 1.76-1.91
B 0.5000 0.8904 0.4554  3 B 1.71-1.77
B 0.5000 0.1096 0.5446  3 B 1.71-1.77
B 0.5000 0.3904 0.0446  3 B 1.71-1.77
B 0.5000 0.6096 0.9554  3 B 1.71-1.77
B 0.5000 0.9752 0.3132  3 B 1.77-1.96
B 0.5000 0.0248 0.6868  3 B 1.77-1.96
B 0.5000 0.4752 0.1868  3 B 1.77-1.96
B 0.5000 0.5248 0.8132  3 B 1.77-1.96
Os 0.0000 0.6377 0.0919  10 B 2.30-2.46
Os 0.0000 0.3623 0.9081  10 B 2.30-2.46
Os 0.0000 0.1377 0.4081  10 B 2.30-2.46
Os 0.0000 0.8623 0.5919  10 B 2.30-2.46

Number 1: electronic total energy -95.7 eV/cell. Number 2: electronic total energy -56.0 eV/cell. Number 3: electronic total energy -182.0 eV/cell.